Here is a geometry-optimized La4PtBr2N structure from Alexandria. Energies are from PBE.

- Uncorrected formation energy: -10.5 eV/f.u.
- D(E_F): 6.56 states/eV/cell
- Symmetry: P2/m, No. 10
- Energy: -5.992 eV per atom

The structure in POSCAR format:
```
La4PtBr2N
1.0
7.203 0.000 0.000
0.000 3.947 0.000
-2.466 0.000 7.668
La Pt Br N
4 1 2 1
Cartesian
0.955 0.000 1.454 La
-0.245 1.973 6.159 La
4.982 1.973 1.509 La
3.782 0.000 6.214 La
3.602 0.000 0.000 Pt
-1.233 0.000 3.834 Br
2.369 1.973 3.834 Br
0.000 1.973 0.000 N
```



Here is a geometry-optimized LaPuBrN2 structure from Alexandria. Energies are from PBE.

- Uncorrected formation energy: -7.5 eV/f.u.
- D(E_F): 12.24 states/eV/cell
- Symmetry: P2_1/m, No. 11
- Energy: -9.015 eV per atom

The structure in POSCAR format:
```
LaPuBrN2
1.0
7.322 0.000 0.000
0.000 4.161 0.000
-2.609 0.000 7.516
La Pu Br N
2 2 2 4
Cartesian
0.117 1.040 3.223 La
4.597 3.121 4.293 La
-1.345 1.040 6.923 Pu
6.059 3.121 0.593 Pu
1.519 3.121 5.560 Br
3.195 1.040 1.956 Br
-0.914 3.121 2.705 N
-2.107 3.121 6.786 N
6.821 1.040 0.730 N
5.628 1.040 4.811 N
```



Here is a geometry-optimized Rb2LaBr6N structure from Alexandria. Energies are from PBE.

- Uncorrected formation energy: -9.3 eV/f.u.
- D(E_F): 0.00 states/eV/cell
- Symmetry: I4/mmm, No. 139
- Energy: -3.451 eV per atom

The structure in POSCAR format:
```
Rb2LaBr6N
1.0
-3.697 3.697 6.571
3.697 -3.697 6.571
3.697 3.697 -6.571
Rb La Br N
2 1 6 1
Cartesian
3.697 0.000 3.285 Rb
0.000 3.697 3.285 Rb
0.000 0.000 0.000 La
0.000 0.000 2.935 Br
2.054 2.054 0.000 Br
1.643 -1.643 6.571 Br
-1.643 1.643 6.571 Br
1.643 1.643 6.571 Br
0.000 0.000 10.206 Br
0.000 0.000 6.571 N
```



Here is a geometry-optimized La6Rh2Br3N structure from Alexandria. Energies are from PBE.

- Uncorrected formation energy: -14.6 eV/f.u.
- D(E_F): 6.05 states/eV/cell
- Symmetry: C2/m, No. 12
- Energy: -6.020 eV per atom

The structure in POSCAR format:
```
La6Rh2Br3N
1.0
3.522 -6.106 0.000
3.522 6.106 0.000
-2.347 0.000 7.850
La Rh Br N
6 2 3 1
Cartesian
1.099 1.898 1.488 La
-0.167 0.000 6.357 La
1.099 -1.898 1.488 La
3.599 1.898 6.362 La
4.865 0.000 1.493 La
3.599 -1.898 6.362 La
3.522 2.030 0.000 Rh
3.522 -2.030 0.000 Rh
2.349 4.023 3.925 Br
2.349 0.000 3.925 Br
2.349 -4.023 3.925 Br
0.000 0.000 0.000 N
```



Here is a geometry-optimized La4RhBr2N structure from Alexandria. Energies are from PBE.

- Uncorrected formation energy: -9.8 eV/f.u.
- D(E_F): 7.48 states/eV/cell
- Symmetry: P2/m, No. 10
- Energy: -6.072 eV per atom

The structure in POSCAR format:
```
La4RhBr2N
1.0
7.062 0.000 0.000
0.000 3.930 0.000
-2.366 0.000 7.727
La Rh Br N
4 1 2 1
Cartesian
0.995 0.000 1.449 La
-0.197 1.965 6.245 La
4.894 1.965 1.481 La
3.702 0.000 6.277 La
3.531 0.000 0.000 Rh
-1.183 0.000 3.863 Br
2.348 1.965 3.863 Br
0.000 1.965 0.000 N
```



Here is a geometry-optimized La8Rh3Br3N structure from Alexandria. Energies are from PBE.

- Uncorrected formation energy: -15.4 eV/f.u.
- D(E_F): 12.39 states/eV/cell
- Symmetry: C2/m, No. 12
- Energy: -6.016 eV per atom

The structure in POSCAR format:
```
La8Rh3Br3N
1.0
7.156 -4.086 0.000
7.156 4.086 0.000
-4.763 0.000 7.866
La Rh Br N
8 3 3 1
Cartesian
3.700 2.213 5.411 La
-0.131 0.000 5.422 La
5.851 2.213 2.455 La
2.381 0.000 2.364 La
7.170 0.000 5.502 La
3.700 -2.213 5.411 La
9.681 0.000 2.444 La
5.851 -2.213 2.455 La
1.197 2.043 3.933 Rh
1.197 -2.043 3.933 Rh
4.775 0.000 3.933 Rh
0.000 0.000 0.000 Br
3.578 2.043 0.000 Br
3.578 -2.043 0.000 Br
-2.381 0.000 3.933 N
```



Here is a geometry-optimized LaRu2BrN structure from Alexandria. Energies are from PBE.

- Uncorrected formation energy: -0.8 eV/f.u.
- D(E_F): 4.29 states/eV/cell
- Symmetry: P4/mmm, No. 123
- Energy: -6.859 eV per atom

The structure in POSCAR format:
```
LaRu2BrN
1.0
4.056 0.000 0.000
0.000 4.056 0.000
0.000 0.000 5.582
La Ru Br N
1 2 1 1
Cartesian
0.000 0.000 0.000 La
0.000 2.028 2.791 Ru
2.028 0.000 2.791 Ru
2.028 2.028 0.000 Br
0.000 0.000 2.791 N
```



Here is a geometry-optimized LaRuBr2N structure from Alexandria. Energies are from PBE.

- Uncorrected formation energy: -0.3 eV/f.u.
- D(E_F): 4.23 states/eV/cell
- Symmetry: P4/mmm, No. 123
- Energy: -5.228 eV per atom

The structure in POSCAR format:
```
LaRuBr2N
1.0
5.483 0.000 0.000
0.000 5.483 0.000
0.000 0.000 3.689
La Ru Br N
1 1 2 1
Cartesian
0.000 0.000 0.000 La
2.742 2.742 0.000 Ru
0.000 2.742 1.844 Br
2.742 0.000 1.844 Br
2.742 2.742 1.844 N
```



Here is a geometry-optimized LaSBrN2 structure from Alexandria. Energies are from PBE.

- Uncorrected formation energy: 4.8 eV/f.u.
- D(E_F): 4.49 states/eV/cell
- Symmetry: P4/mmm, No. 123
- Energy: -4.520 eV per atom
- Energy relative to the lowest polymorph listed for this composition: 18.83 kJ/mol of atoms

The structure in POSCAR format:
```
LaSBrN2
1.0
4.170 0.000 0.000
0.000 4.170 0.000
0.000 0.000 6.502
La S Br N
1 1 1 2
Cartesian
0.000 0.000 0.000 La
0.000 0.000 3.251 S
2.085 2.085 3.251 Br
0.000 2.085 0.000 N
2.085 0.000 0.000 N
```



Here is a geometry-optimized La2SBr2N structure from Alexandria. Energies are from PBE.

- Uncorrected formation energy: -9.9 eV/f.u.
- D(E_F): 2.92 states/eV/cell
- Symmetry: Pmc2_1, No. 26
- Energy: -5.925 eV per atom

The structure in POSCAR format:
```
La2SBr2N
1.0
4.318 0.000 0.000
0.000 10.760 0.000
0.000 0.000 7.401
La S Br N
4 2 4 2
Cartesian
0.000 0.955 0.000 La
0.000 9.805 3.701 La
2.159 2.285 3.121 La
2.159 8.475 6.822 La
2.159 0.389 5.292 S
2.159 10.371 1.591 S
0.000 3.824 4.706 Br
0.000 6.936 1.006 Br
2.159 3.218 0.292 Br
2.159 7.542 3.992 Br
0.000 1.317 2.643 N
0.000 9.443 6.344 N
```



Here is a geometry-optimized La6S2BrN3 structure from Alexandria. Energies are from PBE.

- Uncorrected formation energy: -19.9 eV/f.u.
- D(E_F): 5.21 states/eV/cell
- Symmetry: C2/m, No. 12
- Energy: -7.027 eV per atom

The structure in POSCAR format:
```
La6S2BrN3
1.0
8.852 -1.934 0.000
8.852 1.934 0.000
-2.546 0.000 7.799
La S Br N
6 2 1 3
Cartesian
-0.329 0.000 1.668 La
4.538 0.000 3.413 La
3.729 0.000 7.004 La
11.429 0.000 0.795 La
10.620 0.000 4.386 La
15.487 0.000 6.131 La
0.787 0.000 6.448 S
14.371 0.000 1.351 S
7.579 0.000 3.899 Br
2.149 0.000 2.586 N
8.852 0.000 0.000 N
13.009 0.000 5.212 N
```



Here is a geometry-optimized La6SBr3N2 structure from Alexandria. Energies are from PBE.

- Uncorrected formation energy: -18.5 eV/f.u.
- D(E_F): 5.71 states/eV/cell
- Symmetry: C2/m, No. 12
- Energy: -6.154 eV per atom

The structure in POSCAR format:
```
La6SBr3N2
1.0
3.410 -5.905 0.000
3.410 5.905 0.000
-2.279 0.000 7.440
La S Br N
6 1 3 2
Cartesian
-0.082 2.104 6.040 La
0.982 0.000 1.389 La
-0.082 -2.104 6.040 La
4.621 2.104 1.400 La
3.558 0.000 6.051 La
4.621 -2.104 1.400 La
3.410 0.000 0.000 S
-1.140 0.000 3.720 Br
2.270 1.899 3.720 Br
2.270 -1.899 3.720 Br
3.410 3.932 0.000 N
3.410 -3.932 0.000 N
```



Here is a geometry-optimized La4SBr2N structure from Alexandria. Energies are from PBE.

- Uncorrected formation energy: -12.7 eV/f.u.
- D(E_F): 4.16 states/eV/cell
- Symmetry: P2/m, No. 10
- Energy: -6.023 eV per atom

The structure in POSCAR format:
```
La4SBr2N
1.0
7.034 0.000 0.000
0.000 3.977 0.000
-2.260 0.000 7.388
La S Br N
4 1 2 1
Cartesian
1.019 0.000 1.391 La
-0.159 1.988 5.940 La
4.933 1.988 1.448 La
3.755 0.000 5.997 La
3.517 0.000 0.000 S
-1.130 0.000 3.694 Br
2.387 1.988 3.694 Br
0.000 1.988 0.000 N
```



Here is a geometry-optimized La6S2Br3N structure from Alexandria. Energies are from PBE.

- Uncorrected formation energy: -19.7 eV/f.u.
- D(E_F): 6.48 states/eV/cell
- Symmetry: C2/m, No. 12
- Energy: -5.904 eV per atom

The structure in POSCAR format:
```
La6S2Br3N
1.0
3.541 -6.100 0.000
3.541 6.100 0.000
-2.326 0.000 7.289
La S Br N
6 2 3 1
Cartesian
1.075 1.849 1.435 La
-0.185 0.000 5.782 La
1.075 -1.849 1.435 La
3.681 1.849 5.853 La
4.941 0.000 1.507 La
3.681 -1.849 5.853 La
3.541 2.008 0.000 S
3.541 -2.008 0.000 S
2.378 3.918 3.644 Br
2.378 0.000 3.644 Br
2.378 -3.918 3.644 Br
0.000 0.000 0.000 N
```



Here is a geometry-optimized LaSBrN2 structure from Alexandria. Energies are from PBE.

- Uncorrected formation energy: 3.8 eV/f.u.
- D(E_F): 3.17 states/eV/cell
- Symmetry: P4/mmm, No. 123
- Energy: -4.715 eV per atom
- Energy relative to the lowest polymorph listed for this composition: 0.00 kJ/mol of atoms

The structure in POSCAR format:
```
LaSBrN2
1.0
4.197 0.000 0.000
0.000 4.197 0.000
0.000 0.000 4.798
La S Br N
1 1 1 2
Cartesian
0.000 0.000 0.000 La
2.099 2.099 0.000 S
2.099 2.099 2.399 Br
0.000 2.099 2.399 N
2.099 0.000 2.399 N
```



Here is a geometry-optimized La2ScBr2N2 structure from Alexandria. Energies are from PBE.

- Uncorrected formation energy: -11.4 eV/f.u.
- D(E_F): 3.65 states/eV/cell
- Symmetry: I4/mmm, No. 139
- Energy: -6.800 eV per atom

The structure in POSCAR format:
```
La2ScBr2N2
1.0
-2.145 2.145 8.258
2.145 -2.145 8.258
2.145 2.145 -8.258
La Sc Br N
2 1 2 2
Cartesian
0.000 0.000 1.536 La
0.000 0.000 14.979 La
0.000 0.000 8.258 Sc
0.000 0.000 5.281 Br
0.000 0.000 11.235 Br
2.145 0.000 0.000 N
0.000 2.145 0.000 N
```



Here is a geometry-optimized LaSeBrN2 structure from Alexandria. Energies are from PBE.

- Uncorrected formation energy: 4.1 eV/f.u.
- D(E_F): 5.09 states/eV/cell
- Symmetry: P4/mmm, No. 123
- Energy: -4.527 eV per atom
- Energy relative to the lowest polymorph listed for this composition: 0.00 kJ/mol of atoms

The structure in POSCAR format:
```
LaSeBrN2
1.0
4.216 0.000 0.000
0.000 4.216 0.000
0.000 0.000 6.825
La Se Br N
1 1 1 2
Cartesian
0.000 0.000 0.000 La
0.000 0.000 3.413 Se
2.108 2.108 3.413 Br
0.000 2.108 0.000 N
2.108 0.000 0.000 N
```



Here is a geometry-optimized LaSe2BrN structure from Alexandria. Energies are from PBE.

- Uncorrected formation energy: 1.8 eV/f.u.
- D(E_F): 5.56 states/eV/cell
- Symmetry: P4/mmm, No. 123
- Energy: -4.021 eV per atom
- Energy relative to the lowest polymorph listed for this composition: 60.91 kJ/mol of atoms

The structure in POSCAR format:
```
LaSe2BrN
1.0
5.930 0.000 0.000
0.000 5.930 0.000
0.000 0.000 5.920
La Se Br N
1 2 1 1
Cartesian
0.000 0.000 0.000 La
0.000 2.965 0.000 Se
2.965 0.000 0.000 Se
0.000 0.000 2.960 Br
2.965 2.965 2.960 N
```



Here is a geometry-optimized LaSeBrN2 structure from Alexandria. Energies are from PBE.

- Uncorrected formation energy: 4.4 eV/f.u.
- D(E_F): 3.12 states/eV/cell
- Symmetry: P4/mmm, No. 123
- Energy: -4.464 eV per atom
- Energy relative to the lowest polymorph listed for this composition: 6.08 kJ/mol of atoms

The structure in POSCAR format:
```
LaSeBrN2
1.0
4.283 0.000 0.000
0.000 4.283 0.000
0.000 0.000 5.052
La Se Br N
1 1 1 2
Cartesian
0.000 0.000 0.000 La
2.141 2.141 0.000 Se
2.141 2.141 2.526 Br
0.000 2.141 2.526 N
2.141 0.000 2.526 N
```



Here is a geometry-optimized LaSe2BrN structure from Alexandria. Energies are from PBE.

- Uncorrected formation energy: 1.6 eV/f.u.
- D(E_F): 3.16 states/eV/cell
- Symmetry: P4/mmm, No. 123
- Energy: -4.054 eV per atom
- Energy relative to the lowest polymorph listed for this composition: 57.72 kJ/mol of atoms

The structure in POSCAR format:
```
LaSe2BrN
1.0
6.187 0.000 0.000
0.000 6.187 0.000
0.000 0.000 4.292
La Se Br N
1 2 1 1
Cartesian
0.000 0.000 0.000 La
0.000 3.093 0.000 Se
3.093 0.000 0.000 Se
3.093 3.093 2.146 Br
0.000 0.000 2.146 N
```